# FeBiTe2I (PBE, optimized geometry)
data_FeBiTe2I
_cell_length_a 5.9712
_cell_length_b 5.9712
_cell_length_c 6.0046
_cell_angle_alpha 90.00
_cell_angle_beta 90.00
_cell_angle_gamma 90.00
_symmetry_space_group_name_H-M 'P 4/m m m'
_symmetry_Int_Tables_number 123
_symmetry_space_group_name_Hall '-P 4 2'
loop_
_atom_site_label
_atom_site_fract_x
_atom_site_fract_y
_atom_site_fract_z
Fe1 0.0000 0.0000 0.0000
Bi1 0.5000 0.5000 0.5000
Te1 0.0000 0.5000 0.5000
I1 0.5000 0.5000 0.0000
# theoretical density = 5.0 g/cm³
# N(E_F) = 2.260 states/eV per atom
# relative energy among the computed polymorphs = 588 meV per atom
# uncorrected formation energy = 967 meV per atom
# final energy = -0.11277 Ha/atom